[1]
DFT (PBE-GGA) results for a relaxed Na3MgNi crystal.

Cell and atoms, written as CIF:
```
data_Na3MgNi
_symmetry_space_group_name_H-M 'P m -3 m'
_symmetry_Int_Tables_number 221
_symmetry_space_group_name_Hall '-P 4 2 3'
_cell_length_a 5.340
_cell_length_b 5.340
_cell_length_c 5.340
_cell_angle_alpha 90.00
_cell_angle_beta 90.00
_cell_angle_gamma 90.00
loop_
_atom_site_label
_atom_site_type_symbol
_atom_site_fract_x
_atom_site_fract_y
_atom_site_fract_z
_atom_site_occupancy
Na1 Na 0.000 0.000 0.500 1
Mg1 Mg 0.500 0.500 0.500 1
Ni1 Ni 0.000 0.000 0.000 1
```

distance to the lowest polymorph of the same formula	0	meV per atom
volume	152	Å³ per cell
raw total energy	-1.743	eV/atom
DFT formation energy	2.62	eV per formula unit
DOS at the Fermi energy	0.808	states/eV per atom
M_tot	0.0	μB per formula unit



[2]
DFT (PBE-GGA) results for a relaxed NaMgNi2Se crystal.

Cell and atoms, written as CIF:
```
data_NaMgNi2Se
_symmetry_space_group_name_H-M 'P 4/m m m'
_symmetry_Int_Tables_number 123
_symmetry_space_group_name_Hall '-P 4 2'
_cell_length_a 4.500
_cell_length_b 4.500
_cell_length_c 4.945
_cell_angle_alpha 90.00
_cell_angle_beta 90.00
_cell_angle_gamma 90.00
loop_
_atom_site_label
_atom_site_type_symbol
_atom_site_fract_x
_atom_site_fract_y
_atom_site_fract_z
_atom_site_occupancy
Na1 Na 0.000 0.000 0.000 1
Mg1 Mg 0.500 0.500 0.500 1
Ni1 Ni 0.000 0.500 0.000 1
Se1 Se 0.000 0.000 0.500 1
```

volume	100	Å³ per cell
raw total energy	-2.643	eV/atom
E_form (uncorrected)	91.6	kJ/mol of atoms
DOS at the Fermi energy	1.254	states/eV per atom
M_tot	1.0	μB per formula unit



[3]
DFT (PBE-GGA) results for a relaxed NaMg2SiNi crystal.

Cell and atoms, written as CIF:
```
data_NaMg2SiNi
_symmetry_space_group_name_H-M 'P 4/m m m'
_symmetry_Int_Tables_number 123
_symmetry_space_group_name_Hall '-P 4 2'
_cell_length_a 4.903
_cell_length_b 4.903
_cell_length_c 4.351
_cell_angle_alpha 90.00
_cell_angle_beta 90.00
_cell_angle_gamma 90.00
loop_
_atom_site_label
_atom_site_type_symbol
_atom_site_fract_x
_atom_site_fract_y
_atom_site_fract_z
_atom_site_occupancy
Na1 Na 0.000 0.000 0.000 1
Mg1 Mg 0.000 0.500 0.500 1
Si1 Si 0.500 0.500 0.000 1
Ni1 Ni 0.500 0.500 0.500 1
```

volume	105	Å³ per cell
raw total energy	-3.213	eV/atom
E_form (uncorrected)	-6.8	kJ/mol of atoms
DOS at the Fermi energy	0.401	states/eV per atom
M_tot	0.0	μB per formula unit



[4]
DFT (PBE-GGA) results for a relaxed NaMgNiSn2 crystal.

Cell and atoms, written as CIF:
```
data_NaMgNiSn2
_symmetry_space_group_name_H-M 'P 4/m m m'
_symmetry_Int_Tables_number 123
_symmetry_space_group_name_Hall '-P 4 2'
_cell_length_a 4.992
_cell_length_b 4.992
_cell_length_c 4.915
_cell_angle_alpha 90.00
_cell_angle_beta 90.00
_cell_angle_gamma 90.00
loop_
_atom_site_label
_atom_site_type_symbol
_atom_site_fract_x
_atom_site_fract_y
_atom_site_fract_z
_atom_site_occupancy
Na1 Na 0.000 0.000 0.000 1
Mg1 Mg 0.500 0.500 0.000 1
Ni1 Ni 0.500 0.500 0.500 1
Sn1 Sn 0.000 0.500 0.500 1
```

volume	122	Å³ per cell
raw total energy	-3.428	eV/atom
DFT formation energy	-0.44	eV per formula unit
DOS at the Fermi energy	0.506	states/eV per atom
M_tot	0.0	μB per formula unit



[5]
DFT (PBE-GGA) results for a relaxed NaSrMgNi2 crystal.

Cell and atoms, written as CIF:
```
data_NaSrMgNi2
_symmetry_space_group_name_H-M 'P 4/m m m'
_symmetry_Int_Tables_number 123
_symmetry_space_group_name_Hall '-P 4 2'
_cell_length_a 4.914
_cell_length_b 4.914
_cell_length_c 4.910
_cell_angle_alpha 90.00
_cell_angle_beta 90.00
_cell_angle_gamma 90.00
loop_
_atom_site_label
_atom_site_type_symbol
_atom_site_fract_x
_atom_site_fract_y
_atom_site_fract_z
_atom_site_occupancy
Na1 Na 0.000 0.000 0.000 1
Sr1 Sr 0.500 0.500 0.500 1
Mg1 Mg 0.000 0.000 0.500 1
Ni1 Ni 0.000 0.500 0.000 1
```

volume	119	Å³ per cell
raw total energy	-2.441	eV/atom
DFT formation energy	3.95	eV per formula unit
DOS at the Fermi energy	0.816	states/eV per atom
M_tot	0.3	μB per formula unit



[6]
DFT (PBE-GGA) results for a relaxed NaSrMg2Ni crystal.

Cell and atoms, written as CIF:
```
data_NaSrMg2Ni
_symmetry_space_group_name_H-M 'P 4/m m m'
_symmetry_Int_Tables_number 123
_symmetry_space_group_name_Hall '-P 4 2'
_cell_length_a 5.116
_cell_length_b 5.116
_cell_length_c 5.517
_cell_angle_alpha 90.00
_cell_angle_beta 90.00
_cell_angle_gamma 90.00
loop_
_atom_site_label
_atom_site_type_symbol
_atom_site_fract_x
_atom_site_fract_y
_atom_site_fract_z
_atom_site_occupancy
Na1 Na 0.000 0.000 0.000 1
Sr1 Sr 0.500 0.500 0.000 1
Mg1 Mg 0.000 0.500 0.500 1
Ni1 Ni 0.500 0.500 0.500 1
```

distance to the lowest polymorph of the same formula	0	meV per atom
volume	144	Å³ per cell
raw total energy	-2.360	eV/atom
DFT formation energy	0.17	eV per formula unit
DOS at the Fermi energy	0.546	states/eV per atom
M_tot	0.0	μB per formula unit



[7]
DFT (PBE-GGA) results for a relaxed NaSrMg2Ni crystal.

Cell and atoms, written as CIF:
```
data_NaSrMg2Ni
_symmetry_space_group_name_H-M 'P 4/m m m'
_symmetry_Int_Tables_number 123
_symmetry_space_group_name_Hall '-P 4 2'
_cell_length_a 5.019
_cell_length_b 5.019
_cell_length_c 5.395
_cell_angle_alpha 90.00
_cell_angle_beta 90.00
_cell_angle_gamma 90.00
loop_
_atom_site_label
_atom_site_type_symbol
_atom_site_fract_x
_atom_site_fract_y
_atom_site_fract_z
_atom_site_occupancy
Na1 Na 0.000 0.000 0.000 1
Sr1 Sr 0.500 0.500 0.000 1
Mg1 Mg 0.000 0.500 0.500 1
Ni1 Ni 0.000 0.000 0.500 1
```

distance to the lowest polymorph of the same formula	53	meV per atom
volume	136	Å³ per cell
raw total energy	-2.307	eV/atom
DFT formation energy	0.44	eV per formula unit
DOS at the Fermi energy	0.505	states/eV per atom
M_tot	0.0	μB per formula unit



[8]
DFT (PBE-GGA) results for a relaxed NaSr2MgNi crystal.

Cell and atoms, written as CIF:
```
data_NaSr2MgNi
_symmetry_space_group_name_H-M 'P 4/m m m'
_symmetry_Int_Tables_number 123
_symmetry_space_group_name_Hall '-P 4 2'
_cell_length_a 5.804
_cell_length_b 5.804
_cell_length_c 5.120
_cell_angle_alpha 90.00
_cell_angle_beta 90.00
_cell_angle_gamma 90.00
loop_
_atom_site_label
_atom_site_type_symbol
_atom_site_fract_x
_atom_site_fract_y
_atom_site_fract_z
_atom_site_occupancy
Na1 Na 0.000 0.000 0.000 1
Sr1 Sr 0.000 0.500 0.500 1
Mg1 Mg 0.500 0.500 0.000 1
Ni1 Ni 0.500 0.500 0.500 1
```

volume	172	Å³ per cell
raw total energy	-2.418	eV/atom
DFT formation energy	-0.03	eV per formula unit
DOS at the Fermi energy	0.286	states/eV per atom
M_tot	0.0	μB per formula unit



Copy entry 2 word for word.
DFT (PBE-GGA) results for a relaxed NaMgNi2Se crystal.

Cell and atoms, written as CIF:
```
data_NaMgNi2Se
_symmetry_space_group_name_H-M 'P 4/m m m'
_symmetry_Int_Tables_number 123
_symmetry_space_group_name_Hall '-P 4 2'
_cell_length_a 4.500
_cell_length_b 4.500
_cell_length_c 4.945
_cell_angle_alpha 90.00
_cell_angle_beta 90.00
_cell_angle_gamma 90.00
loop_
_atom_site_label
_atom_site_type_symbol
_atom_site_fract_x
_atom_site_fract_y
_atom_site_fract_z
_atom_site_occupancy
Na1 Na 0.000 0.000 0.000 1
Mg1 Mg 0.500 0.500 0.500 1
Ni1 Ni 0.000 0.500 0.000 1
Se1 Se 0.000 0.000 0.500 1
```

volume	100	Å³ per cell
raw total energy	-2.643	eV/atom
E_form (uncorrected)	91.6	kJ/mol of atoms
DOS at the Fermi energy	1.254	states/eV per atom
M_tot	1.0	μB per formula unit



Number 8 is which compound?
NaSr2MgNi



Repeat the eighth record exactly.
DFT (PBE-GGA) results for a relaxed NaSr2MgNi crystal.

Cell and atoms, written as CIF:
```
data_NaSr2MgNi
_symmetry_space_group_name_H-M 'P 4/m m m'
_symmetry_Int_Tables_number 123
_symmetry_space_group_name_Hall '-P 4 2'
_cell_length_a 5.804
_cell_length_b 5.804
_cell_length_c 5.120
_cell_angle_alpha 90.00
_cell_angle_beta 90.00
_cell_angle_gamma 90.00
loop_
_atom_site_label
_atom_site_type_symbol
_atom_site_fract_x
_atom_site_fract_y
_atom_site_fract_z
_atom_site_occupancy
Na1 Na 0.000 0.000 0.000 1
Sr1 Sr 0.000 0.500 0.500 1
Mg1 Mg 0.500 0.500 0.000 1
Ni1 Ni 0.500 0.500 0.500 1
```

volume	172	Å³ per cell
raw total energy	-2.418	eV/atom
DFT formation energy	-0.03	eV per formula unit
DOS at the Fermi energy	0.286	states/eV per atom
M_tot	0.0	μB per formula unit



Which value of DOS at the Fermi energy does entry 8 give?
0.286 states/eV per atom